# 1
DFT (PBE-GGA) results for crystalline Li3DyAu2 at its relaxed geometry.

Summary:
E_tot: -3.345 eV/atom
Crystal system: monoclinic
ΔE_f: -3.169 eV/f.u.
DOS(E_F): 3.0 states/eV/f.u.

a = 14.4095 Å, b = 4.0515 Å, c = 9.1613 Å
α = 90.00°, β = 124.00°, γ = 90.00°
Closest atoms and distances in Å follow each position.
Space group C2/m (No. 12)
Asymmetric unit:
Li: 0.0681 0.0000 0.4131 x4  3 Au 2.64-2.79, 5 Li 2.64-2.85
Li: 0.0729 0.5000 0.6868 x4  3 Au 2.59-2.77, 3 Li 2.64-2.84
Li: 0.2319 0.5000 0.5808 x4  6 Li 2.73-2.95, 3 Au 2.77-2.84
Dy: 0.1244 0.0000 0.0012 x4  7 Au 2.99-3.14, 4 Li 3.18-3.25
Au: 0.0749 0.5000 0.2102 x4  6 Li 2.77-3.09, 1 Au 3.04
Au: 0.2040 0.0000 0.7596 x4  5 Li 2.59-2.77

# 2
DFT (PBE-GGA) results for crystalline LiDyAu6 at its relaxed geometry.

Summary:
E_tot: -3.775 eV/atom
Energy relative to the lowest polymorph listed for this composition: 0 meV/atom
Crystal system: monoclinic
ΔE_f: -4.016 eV/f.u.
DOS(E_F): 2.9 states/eV/f.u.

a = 9.5501 Å, b = 4.1265 Å, c = 8.3946 Å
α = 90.00°, β = 115.83°, γ = 90.00°
Closest atoms and distances in Å follow each position.
Space group C2/m (No. 12)
Asymmetric unit:
Li: 0.0000 0.0000 0.0000 x2  12 Au 2.85-3.00
Dy: 0.0000 0.0000 0.5000 x2  12 Au 3.01-3.04
Au: 0.0003 0.5000 0.2341 x4  2 Li 2.85, 7 Au 2.91-3.08, 2 Dy 3.04
Au: 0.2443 0.0000 0.3635 x4  1 Li 2.92, 8 Au 2.93-3.19, 3 Dy 3.01-3.02
Au: 0.2460 0.0000 0.8789 x4  8 Au 2.87-2.96, 3 Li 2.94-3.00, 1 Dy 3.02